PrHoHf | PBE | optimized geometry

a b c (Å): 4.6982 4.6982 8.3507
angles (deg): 90.00 90.00 90.00
With the nearest neighbours (Å) after each atom.
Atoms (fractional coordinates):
Hf: 0.0000 0.0000 0.0000  4 Ho 3.27, 4 Hf 3.32, 4 Pr 3.41
Hf: 0.5000 0.5000 0.0000  4 Ho 3.27, 4 Hf 3.32, 4 Pr 3.41
Pr: 0.0000 0.5000 0.7047  5 Ho 3.33-3.60, 4 Hf 3.41
Pr: 0.5000 0.0000 0.2953  5 Ho 3.33-3.60, 4 Hf 3.41
Ho: 0.0000 0.5000 0.2731  4 Hf 3.27, 5 Pr 3.33-3.60
Ho: 0.5000 0.0000 0.7269  4 Hf 3.27, 5 Pr 3.33-3.60

Output
Density ... 8.7 g/cm3
Total DFT energy (no corrections) ... -6.1822 eV per atom
Total magnetic moment ... 0.000 μB per atom
Energy relative to the elements ... 0.255 eV per atom
Density of states at the Fermi level ... 9.120 states/eV per cell

=====

SrLa2Pm | PBE | optimized geometry

a b c (Å): 6.0843 6.0843 6.0843
angles (deg): 60.00 60.00 60.00
With the nearest neighbours (Å) after each atom.
Atoms (fractional coordinates):
Sr: 0.5000 0.5000 0.5000  8 La 3.73
La: 0.2500 0.2500 0.2500  4 Sr 3.73, 4 Pm 3.73
La: 0.7500 0.7500 0.7500  4 Sr 3.73, 4 Pm 3.73
Pm: 0.0000 0.0000 0.0000  8 La 3.73

Output
Density ... 5.3 g/cm3
Total DFT energy (no corrections) ... -3.8775 eV per atom
Total magnetic moment ... 0.004 μB per atom
Energy relative to the elements ... 0.194 eV per atom
Density of states at the Fermi level ... 8.941 states/eV per cell

=====

UPaPC | PBE | optimized geometry

a b c (Å): 3.7777 3.7777 5.3233
angles (deg): 90.00 90.00 90.00
With the nearest neighbours (Å) after each atom.
Atoms (fractional coordinates):
U: 0.5000 0.5000 0.0000  2 P 2.66, 4 C 2.67
Pa: 0.0000 0.0000 0.5000  2 C 2.66, 4 P 2.67
P: 0.5000 0.5000 0.5000  2 U 2.66, 4 Pa 2.67
C: 0.0000 0.0000 0.0000  2 Pa 2.66, 4 U 2.67

Output
Density ... 11.2 g/cm3
Total DFT energy (no corrections) ... -9.3187 eV per atom
Total magnetic moment ... 0.210 μB per atom
Energy relative to the elements ... -0.464 eV per atom
Density of states at the Fermi level ... 6.560 states/eV per cell

=====

CrWC2 | PBE | optimized geometry

a b c (Å): 4.5871 4.5871 5.6427
angles (deg): 66.02 66.02 90.00
With the nearest neighbours (Å) after each atom.
Atoms (fractional coordinates):
Cr: 0.5000 0.5000 0.0000  4 C 1.97
Cr: 0.2500 0.7500 0.5000  4 C 1.97
C: 0.6155 0.1250 0.2500  2 Cr 1.97, 2 W 2.02
C: 0.1345 0.6250 0.2500  2 Cr 1.97, 2 W 2.02
C: 0.3750 0.3845 0.7500  2 Cr 1.97, 2 W 2.02
C: 0.8750 0.8655 0.7500  2 Cr 1.97, 2 W 2.02
W: 0.0000 0.0000 0.0000  4 C 2.02
W: 0.7500 0.2500 0.5000  4 C 2.02

Output
Density ... 8.9 g/cm3
Total DFT energy (no corrections) ... -9.7738 eV per atom
Total magnetic moment ... 0.462 μB per atom
Energy relative to the elements ... 0.482 eV per atom
Density of states at the Fermi level ... 5.622 states/eV per cell

=====

Pr4Sn2Sb | PBE | optimized geometry

a b c (Å): 8.3559 8.3559 8.3553
angles (deg): 109.39 109.38 109.64
With the nearest neighbours (Å) after each atom.
Atoms (fractional coordinates):
Pr: 0.0157 0.2645 0.3902  4 Sn 3.20-3.49, 2 Sb 3.20-3.48
Pr: 0.3757 0.4855 0.2513  4 Sn 3.20-3.49, 2 Sb 3.20-3.48
Pr: 0.8743 0.6255 0.6098  4 Sn 3.20-3.49, 2 Sb 3.20-3.48
Pr: 0.7355 0.1257 0.7513  4 Sn 3.20-3.49, 2 Sb 3.20-3.48
Pr: 0.3744 0.9843 0.2487  4 Sn 3.20-3.49, 2 Sb 3.20-3.48
Pr: 0.2342 0.1244 0.7487  4 Sn 3.20-3.49, 2 Sb 3.20-3.48
Pr: 0.5145 0.7658 0.8902  4 Sn 3.20-3.49, 2 Sb 3.20-3.48
Pr: 0.8756 0.6243 0.1098  4 Sn 3.20-3.49, 2 Sb 3.20-3.48
Sn: 0.4996 0.3750 0.6247  8 Pr 3.20-3.49
Sn: 0.7503 0.8749 0.3753  8 Pr 3.20-3.49
Sn: 0.6250 0.2496 0.1246  8 Pr 3.20-3.49
Sn: 0.1250 0.5004 0.8754  8 Pr 3.20-3.49
Sb: 0.2500 0.7500 0.5000  8 Pr 3.20-3.48
Sb: 0.0001 0.0000 0.0000  8 Pr 3.20-3.48

Output
Density ... 6.8 g/cm3
Total DFT energy (no corrections) ... -5.3182 eV per atom
Total magnetic moment ... 0.000 μB per atom
Density of states at the Fermi level ... 11.693 states/eV per cell
E_form (uncorrected) ... -0.854 eV/atom

=====

SrSn2Pd | PBE | optimized geometry

a b c (Å): 5.0708 5.0708 10.1094
angles (deg): 75.48 75.48 90.00
With the nearest neighbours (Å) after each atom.
Atoms (fractional coordinates):
Sr: 0.5000 0.5000 0.0000  4 Sn 3.27, 4 Pd 3.59
Sr: 0.2500 0.7500 0.5000  4 Sn 3.27, 4 Pd 3.59
Sn: 0.7435 0.1250 0.2500  2 Pd 2.76, 2 Sn 2.86
Sn: 0.0065 0.6250 0.2500  2 Pd 2.76, 2 Sn 2.86
Sn: 0.3750 0.2565 0.7500  2 Pd 2.76, 2 Sn 2.86
Sn: 0.8750 0.9935 0.7500  2 Pd 2.76, 2 Sn 2.86
Pd: 0.0000 0.0000 0.0000  4 Sn 2.76
Pd: 0.7500 0.2500 0.5000  4 Sn 2.76

Output
Density ... 5.9 g/cm3
Total DFT energy (no corrections) ... -4.0727 eV per atom
Total magnetic moment ... 0.000 μB per atom
Energy relative to the elements ... -0.353 eV per atom
Density of states at the Fermi level ... 4.457 states/eV per cell

=====

K2Pu3Te6 | PBE | optimized geometry

a b c (Å): 7.7758 7.7755 8.7210
angles (deg): 81.45 72.71 60.00
With the nearest neighbours (Å) after each atom.
Atoms (fractional coordinates):
K: 0.1667 0.6667 0.5000  6 Te 3.58
K: 0.8333 0.3333 0.5000  6 Te 3.58
Pu: 0.0000 0.0000 0.0000  6 Te 3.10-3.11
Pu: 0.3331 0.3338 0.0000  6 Te 3.10-3.11
Pu: 0.6669 0.6662 0.0000  6 Te 3.10-3.11
Te: 0.4014 0.6679 0.7956  3 Pu 3.10-3.11
Te: 0.7335 0.0000 0.7959  3 Pu 3.10-3.11
Te: 0.0694 0.3321 0.7956  3 Pu 3.10-3.11
Te: 0.2665 0.0000 0.2041  3 Pu 3.10-3.11
Te: 0.5986 0.3321 0.2044  3 Pu 3.10-3.11
Te: 0.9306 0.6679 0.2044  3 Pu 3.10-3.11

Output
Density ... 6.0 g/cm3
Total DFT energy (no corrections) ... -6.8636 eV per atom
Total magnetic moment ... 1.273 μB per atom
Density of states at the Fermi level ... 37.201 states/eV per cell
E_form (uncorrected) ... -1.042 eV/atom

=====

AlZnIn2 | PBE | optimized geometry

a b c (Å): 4.1002 3.3680 6.8593
angles (deg): 65.98 90.00 90.00
With the nearest neighbours (Å) after each atom.
Atoms (fractional coordinates):
Zn: 0.5000 0.2500 0.2500  8 In 2.98-3.17, 2 Al 3.15
Al: 0.5000 0.7500 0.7500  8 In 3.03-3.15, 2 Zn 3.15, 2 Al 3.37
In: 0.0000 0.0078 0.0031  4 Zn 2.98-3.17, 4 Al 3.03-3.15, 2 In 3.11-3.18
In: 0.0000 0.4922 0.4969  4 Zn 2.98-3.17, 4 Al 3.03-3.15, 2 In 3.11-3.18

Output
Density ... 6.2 g/cm3
Total DFT energy (no corrections) ... -2.4660 eV per atom
Total magnetic moment ... 0.000 μB per atom
Energy relative to the elements ... 0.157 eV per atom
Density of states at the Fermi level ... 1.366 states/eV per cell

=====

CeZr2Cu6 | PBE | optimized geometry

a b c (Å): 2.9516 7.5645 8.1201
angles (deg): 117.76 111.33 90.00
With the nearest neighbours (Å) after each atom.
Atoms (fractional coordinates):
Ce: 0.0000 0.0000 0.0000  12 Cu 2.95, 2 Ce 2.95
Zr: 0.6669 0.3334 0.6668  12 Cu 2.91, 2 Zr 2.95
Zr: 0.3331 0.6666 0.3332  12 Cu 2.91, 2 Zr 2.95
Cu: 0.8376 0.0001 0.3379  3 Cu 2.45-2.56
Cu: 0.1624 0.9999 0.6621  3 Cu 2.45-2.56
Cu: 0.1624 0.6622 0.6621  3 Cu 2.45-2.56
Cu: 0.5000 0.3378 0.0000  3 Cu 2.45-2.56
Cu: 0.5000 0.6622 0.0000  3 Cu 2.45-2.56
Cu: 0.8376 0.3378 0.3379  3 Cu 2.45-2.56

Output
Density ... 8.0 g/cm3
Total DFT energy (no corrections) ... -5.4244 eV per atom
Total magnetic moment ... 0.000 μB per atom
Energy relative to the elements ... -0.135 eV per atom
Density of states at the Fermi level ... 7.870 states/eV per cell

=====

ScW2Cl | PBE | optimized geometry

a b c (Å): 4.3329 4.3329 8.1359
angles (deg): 62.14 62.14 41.75
With the nearest neighbours (Å) after each atom.
Atoms (fractional coordinates):
Cl: 0.4985 0.4985 0.5102  2 W 2.69, 2 Sc 2.69
Sc: 0.1728 0.1728 0.1978  2 Cl 2.69, 3 W 2.72-2.89
W: 0.0149 0.0149 0.9716  3 W 2.48-2.60, 1 Sc 2.72
W: 0.8137 0.8137 0.8203  3 W 2.48-2.60, 2 Cl 2.69

Output
Density ... 8.4 g/cm3
Total DFT energy (no corrections) ... -8.3274 eV per atom
Total magnetic moment ... 0.000 μB per atom
Density of states at the Fermi level ... 0.920 states/eV per cell
E_form (uncorrected) ... 0.194 eV/atom

=====

CsK6Hg | PBE | optimized geometry

a b c (Å): 6.1431 6.1431 15.0501
angles (deg): 90.00 90.00 90.00
With the nearest neighbours (Å) after each atom.
Atoms (fractional coordinates):
Cs: 0.0000 0.0000 0.0000  8 K 4.86
K: 0.5000 0.0000 0.6369  2 Hg 3.70, 1 K 4.12
K: 0.0000 0.5000 0.6369  2 Hg 3.70, 1 K 4.12
K: 0.5000 0.5000 0.1445  5 K 4.35-4.50, 4 Cs 4.86
K: 0.5000 0.5000 0.8555  5 K 4.35-4.50, 4 Cs 4.86
K: 0.0000 0.5000 0.3631  2 Hg 3.70, 1 K 4.12
K: 0.5000 0.0000 0.3631  2 Hg 3.70, 1 K 4.12
Hg: 0.0000 0.0000 0.5000  8 K 3.70

Output
Density ... 1.7 g/cm3
Total DFT energy (no corrections) ... -0.9891 eV per atom
Total magnetic moment ... 0.000 μB per atom
Energy relative to the elements ... -0.022 eV per atom
Density of states at the Fermi level ... 5.567 states/eV per cell

=====

InNiRh2 | PBE | optimized geometry

a b c (Å): 8.5360 8.5360 8.5360
angles (deg): 19.61 19.61 19.61
With the nearest neighbours (Å) after each atom.
Atoms (fractional coordinates):
In: 0.2500 0.2500 0.2500  6 Rh 2.78, 6 In 2.91
Ni: 0.7500 0.7500 0.7500  6 Rh 2.58
Rh: 0.0051 0.0051 0.0051  3 Ni 2.58, 3 In 2.78
Rh: 0.4949 0.4949 0.4949  3 Ni 2.58, 3 In 2.78

Output
Density ... 10.3 g/cm3
Total DFT energy (no corrections) ... -5.6913 eV per atom
Total magnetic moment ... 0.325 μB per atom
Energy relative to the elements ... 0.114 eV per atom
Density of states at the Fermi level ... 6.704 states/eV per cell